A plane-wave DFT calculation with SCAN was carried out for a PBEsol-optimized structure of Al2FeRe.

- ΔE_f: 320.4 meV per atom
- Space group: I-42d (122)
- M_tot: 3.01 μB/f.u.
- Excess energy over the best structure of this formula in the dataset: 547 meV/atom

Cell: 6.6257 6.6257 5.2634 Å, 90.00 90.00 90.00°
Atoms (fractional coordinates):
Al (0.2286, 0.2500, 0.1250)
Al (0.2500, 0.7286, 0.3750)
Al (0.2500, 0.7714, 0.8750)
Al (0.2714, 0.2500, 0.6250)
Al (0.7286, 0.7500, 0.6250)
Al (0.7500, 0.2286, 0.8750)
Al (0.7500, 0.2714, 0.3750)
Al (0.7714, 0.7500, 0.1250)
Fe (0.0000, 0.0000, 0.0000)
Fe (0.0000, 0.5000, 0.2500)
Fe (0.5000, 0.0000, 0.7500)
Fe (0.5000, 0.5000, 0.5000)
Re (0.0000, 0.0000, 0.5000)
Re (0.0000, 0.5000, 0.7500)
Re (0.5000, 0.0000, 0.2500)
Re (0.5000, 0.5000, 0.0000)

---

A plane-wave DFT calculation with SCAN was carried out for a PBEsol-optimized structure of AlCuSnS4.

- Space group: Imma (74)
- Uncorrected formation energy: -0.735 eV per atom
- M_tot: 0.00 μB/f.u.

Cell: 7.1691 7.1691 7.1691 Å, 120.55 119.37 90.07°
Atoms (fractional coordinates):
Al (0.5000, 0.0000, 0.0000)
Al (0.5000, 0.5000, 0.5000)
Cu (0.1171, 0.3671, 0.7500)
Cu (0.8829, 0.6329, 0.2500)
Sn (0.0000, 0.0000, 0.0000)
Sn (0.5000, 0.0000, 0.5000)
S (0.2597, 0.2627, 0.5029)
S (0.2597, 0.7568, 0.9971)
S (0.2693, 0.7494, 0.5199)
S (0.2706, 0.2506, 0.0199)
S (0.7294, 0.7494, 0.9801)
S (0.7307, 0.2506, 0.4801)
S (0.7403, 0.2432, 0.0029)
S (0.7403, 0.7373, 0.4971)

---

A plane-wave DFT calculation with SCAN was carried out for a PBEsol-optimized structure of BiTe2Se.

- Space group: R-3m (166)
- Uncorrected formation energy: 0.284 eV per atom
- M_tot: 0.00 μB/f.u.

Cell: 3.4938 3.4938 31.5982 Å, 90.00 90.00 120.00°
Atoms (fractional coordinates):
Bi (0.0000, 0.0000, 0.0000)
Bi (0.3333, 0.6667, 0.6667)
Bi (0.6667, 0.3333, 0.3333)
Te (0.0000, 0.0000, 0.0987)
Te (0.0000, 0.0000, 0.9013)
Te (0.3333, 0.6667, 0.5680)
Te (0.3333, 0.6667, 0.7653)
Te (0.6667, 0.3333, 0.2347)
Te (0.6667, 0.3333, 0.4320)
Se (0.0000, 0.0000, 0.5000)
Se (0.3333, 0.6667, 0.1667)
Se (0.6667, 0.3333, 0.8333)

---

A plane-wave DFT calculation with SCAN was carried out for a PBEsol-optimized structure of Cd2AgHg.

- ΔE_f: 35.8 meV per atom
- Space group: Immm (71)
- M_tot: 0.00 μB/f.u.

Cell: 3.5257 4.7203 9.4125 Å, 90.00 90.00 90.00°
Atoms (fractional coordinates):
Cd (0.0000, 0.0000, 0.2410)
Cd (0.0000, 0.0000, 0.7590)
Cd (0.5000, 0.5000, 0.2590)
Cd (0.5000, 0.5000, 0.7410)
Ag (0.0000, 0.5000, 0.5000)
Ag (0.5000, 0.0000, 0.0000)
Hg (0.0000, 0.5000, 0.0000)
Hg (0.5000, 0.0000, 0.5000)

---

A plane-wave DFT calculation with SCAN was carried out for a PBEsol-optimized structure of LiTl2Cd.

- ΔE_f: -101.9 meV per atom
- Space group: I-4m2 (119)
- M_tot: 0.00 μB/f.u.

Cell: 4.3933 4.3933 9.6154 Å, 90.00 90.00 90.00°
Atoms (fractional coordinates):
Li (0.0000, 0.0000, 0.0000)
Li (0.5000, 0.5000, 0.5000)
Tl (0.0000, 0.0000, 0.5000)
Tl (0.0000, 0.5000, 0.2500)
Tl (0.5000, 0.0000, 0.7500)
Tl (0.5000, 0.5000, 0.0000)
Cd (0.0000, 0.5000, 0.7500)
Cd (0.5000, 0.0000, 0.2500)

---

A plane-wave DFT calculation with SCAN was carried out for a PBEsol-optimized structure of SrZrTaIr2.

- ΔE_f: 2409.0 meV per atom
- Space group: P4/mmm (123)
- M_tot: 0.00 μB/f.u.

Cell: 4.7545 4.7545 4.8104 Å, 90.00 90.00 90.00°
Atoms (fractional coordinates):
Sr (0.0000, 0.0000, 0.0000)
Zr (0.5000, 0.5000, 0.5000)
Ta (0.0000, 0.0000, 0.5000)
Ir (0.0000, 0.5000, 0.0000)
Ir (0.5000, 0.0000, 0.0000)

---

A plane-wave DFT calculation with SCAN was carried out for a PBEsol-optimized structure of SbMo.

- Space group: P4/nmm (129)
- Uncorrected formation energy: 0.082 eV per atom
- M_tot: 0.00 μB/f.u.

Cell: 3.1954 3.1954 7.9326 Å, 90.00 90.00 90.00°
Atoms (fractional coordinates):
Sb (0.2500, 0.2500, 0.1848)
Sb (0.7500, 0.7500, 0.8152)
Mo (0.2500, 0.2500, 0.5865)
Mo (0.7500, 0.7500, 0.4135)

---

A plane-wave DFT calculation with SCAN was carried out for a PBEsol-optimized structure of SrSiRu.

- Space group: P-6m2 (187)
- Uncorrected formation energy: -0.392 eV per atom
- M_tot: 0.00 μB/f.u.

Cell: 4.0090 4.0090 4.7914 Å, 90.00 90.00 120.00°
Atoms (fractional coordinates):
Sr (0.0000, 0.0000, 0.0000)
Si (0.6667, 0.3333, 0.5000)
Ru (0.3333, 0.6667, 0.5000)